Computed, not measured: a relaxed structure of DyTm5Ga4 at the PBE-GGA level of DFT.

The space group is C2/m (No. 12) and the conventional cell measures 16.9593, 3.6286 and 8.6263 Å, with angles of 90.00, 95.41 and 90.00 degrees. The asymmetric unit holds Dy at (0.0000, 0.0000, 0.0000), Tm at (0.0000, 0.0000, 0.5000), Tm at (0.1496, 0.5000, 0.7774), Tm at (0.1887, 0.5000, 0.3494), Ga at (0.0236, 0.5000, 0.2582) and Ga at (0.1864, 0.0000, 0.0583).

The formation energy comes out at -0.28 eV/atom. The calculation puts the total energy at -83.82 eV per cell. The theoretical density is 8.082 g/cm3.